No. 1
# Tl2RePt (PBE, optimized geometry)
# VASP energy	-5.076	eV/atom
# energy above the most stable polymorph in this dataset	0.289	eV per atom
data_Tl2RePt
_cell_length_a 4.603
_cell_length_b 4.603
_cell_length_c 3.566
_cell_angle_alpha 90.00
_cell_angle_beta 90.00
_cell_angle_gamma 90.00
_symmetry_space_group_name_H-M 'P 4/m m m'
_symmetry_Int_Tables_number 123
_symmetry_space_group_name_Hall '-P 4 2'
loop_
_atom_site_label
_atom_site_type_symbol
_atom_site_fract_x
_atom_site_fract_y
_atom_site_fract_z
_atom_site_occupancy
Tl1 Tl 0.000 0.500 0.000 1
Re1 Re 0.000 0.000 0.500 1
Pt1 Pt 0.500 0.500 0.500 1

=====

No. 2
# Tl2RePt (PBE, optimized geometry)
# VASP energy	-5.333	eV/atom
# energy above the most stable polymorph in this dataset	0.032	eV per atom
data_Tl2RePt
_cell_length_a 2.855
_cell_length_b 3.890
_cell_length_c 8.379
_cell_angle_alpha 90.00
_cell_angle_beta 99.62
_cell_angle_gamma 90.00
_symmetry_space_group_name_H-M 'P 1 m 1'
_symmetry_Int_Tables_number 6
_symmetry_space_group_name_Hall 'P -2y'
loop_
_atom_site_label
_atom_site_type_symbol
_atom_site_fract_x
_atom_site_fract_y
_atom_site_fract_z
_atom_site_occupancy
Tl1 Tl 0.000 0.000 0.000 1
Tl2 Tl 0.144 0.500 0.348 1
Re1 Re 0.779 0.000 0.609 1
Pt1 Pt 0.339 0.500 0.733 1

=====

No. 3
# TlRePt2 (PBE, optimized geometry)
# VASP energy	-6.422	eV/atom
# energy above the most stable polymorph in this dataset	0.193	eV per atom
data_TlRePt2
_cell_length_a 2.869
_cell_length_b 4.084
_cell_length_c 5.821
_cell_angle_alpha 90.00
_cell_angle_beta 90.00
_cell_angle_gamma 90.00
_symmetry_space_group_name_H-M 'P m m m'
_symmetry_Int_Tables_number 47
_symmetry_space_group_name_Hall '-P 2 2'
loop_
_atom_site_label
_atom_site_type_symbol
_atom_site_fract_x
_atom_site_fract_y
_atom_site_fract_z
_atom_site_occupancy
Tl1 Tl 0.000 0.000 0.000 1
Re1 Re 0.000 0.000 0.500 1
Pt1 Pt 0.500 0.500 0.273 1

=====

No. 4
# TlRePt2 (PBE, optimized geometry)
# VASP energy	-6.178	eV/atom
# energy above the most stable polymorph in this dataset	0.436	eV per atom
data_TlRePt2
_cell_length_a 6.541
_cell_length_b 6.541
_cell_length_c 6.541
_cell_angle_alpha 90.00
_cell_angle_beta 90.00
_cell_angle_gamma 90.00
_symmetry_space_group_name_H-M 'F m -3 m'
_symmetry_Int_Tables_number 225
_symmetry_space_group_name_Hall '-F 4 2 3'
loop_
_atom_site_label
_atom_site_type_symbol
_atom_site_fract_x
_atom_site_fract_y
_atom_site_fract_z
_atom_site_occupancy
Tl1 Tl 0.000 0.000 0.000 1
Re1 Re 0.000 0.000 0.500 1
Pt1 Pt 0.250 0.250 0.250 1

=====

No. 5
# TlRePt2 (PBE, optimized geometry)
# VASP energy	-6.154	eV/atom
# energy above the most stable polymorph in this dataset	0.461	eV per atom
data_TlRePt2
_cell_length_a 6.498
_cell_length_b 6.498
_cell_length_c 6.498
_cell_angle_alpha 90.00
_cell_angle_beta 90.00
_cell_angle_gamma 90.00
_symmetry_space_group_name_H-M 'F -4 3 m'
_symmetry_Int_Tables_number 216
_symmetry_space_group_name_Hall 'F -4 2 3'
loop_
_atom_site_label
_atom_site_type_symbol
_atom_site_fract_x
_atom_site_fract_y
_atom_site_fract_z
_atom_site_occupancy
Tl1 Tl 0.000 0.000 0.000 1
Re1 Re 0.250 0.250 0.250 1
Pt1 Pt 0.000 0.000 0.500 1
Pt2 Pt 0.250 0.250 0.750 1

=====

No. 6
# TlRePt (PBE, optimized geometry)
# VASP energy	-6.108	eV/atom
# energy above the most stable polymorph in this dataset	0.394	eV per atom
data_TlRePt
_cell_length_a 6.280
_cell_length_b 6.280
_cell_length_c 6.280
_cell_angle_alpha 90.00
_cell_angle_beta 90.00
_cell_angle_gamma 90.00
_symmetry_space_group_name_H-M 'F -4 3 m'
_symmetry_Int_Tables_number 216
_symmetry_space_group_name_Hall 'F -4 2 3'
loop_
_atom_site_label
_atom_site_type_symbol
_atom_site_fract_x
_atom_site_fract_y
_atom_site_fract_z
_atom_site_occupancy
Tl1 Tl 0.000 0.000 0.000 1
Re1 Re 0.000 0.000 0.500 1
Pt1 Pt 0.250 0.250 0.750 1

=====

No. 7
# TlRePt2 (PBE, optimized geometry)
# VASP energy	-6.430	eV/atom
# energy above the most stable polymorph in this dataset	0.184	eV per atom
data_TlRePt2
_cell_length_a 9.148
_cell_length_b 2.874
_cell_length_c 5.341
_cell_angle_alpha 90.00
_cell_angle_beta 99.19
_cell_angle_gamma 90.00
_symmetry_space_group_name_H-M 'C 1 m 1'
_symmetry_Int_Tables_number 8
_symmetry_space_group_name_Hall 'C -2y'
loop_
_atom_site_label
_atom_site_type_symbol
_atom_site_fract_x
_atom_site_fract_y
_atom_site_fract_z
_atom_site_occupancy
Tl1 Tl 0.000 0.000 0.000 1
Re1 Re 0.250 0.500 0.311 1
Pt1 Pt 0.247 0.000 0.745 1
Pt2 Pt 0.493 0.000 0.485 1

=====

No. 8
# TlRe2Pt (PBE, optimized geometry)
# VASP energy	-7.748	eV/atom
# energy above the most stable polymorph in this dataset	0.271	eV per atom
data_TlRe2Pt
_cell_length_a 9.401
_cell_length_b 2.881
_cell_length_c 5.081
_cell_angle_alpha 90.00
_cell_angle_beta 100.58
_cell_angle_gamma 90.00
_symmetry_space_group_name_H-M 'C 1 2/m 1'
_symmetry_Int_Tables_number 12
_symmetry_space_group_name_Hall '-C 2y'
loop_
_atom_site_label
_atom_site_type_symbol
_atom_site_fract_x
_atom_site_fract_y
_atom_site_fract_z
_atom_site_occupancy
Tl1 Tl 0.000 0.000 0.000 1
Re1 Re 0.244 0.000 0.718 1
Pt1 Pt 0.000 0.500 0.500 1

=====

No. 9
# TlRePt2 (PBE, optimized geometry)
# VASP energy	-6.418	eV/atom
# energy above the most stable polymorph in this dataset	0.197	eV per atom
data_TlRePt2
_cell_length_a 2.835
_cell_length_b 4.596
_cell_length_c 5.258
_cell_angle_alpha 90.00
_cell_angle_beta 90.00
_cell_angle_gamma 90.00
_symmetry_space_group_name_H-M 'P m m 2'
_symmetry_Int_Tables_number 25
_symmetry_space_group_name_Hall 'P 2 -2'
loop_
_atom_site_label
_atom_site_type_symbol
_atom_site_fract_x
_atom_site_fract_y
_atom_site_fract_z
_atom_site_occupancy
Tl1 Tl 0.000 0.000 0.000 1
Re1 Re 0.000 0.500 0.355 1
Pt1 Pt 0.500 0.000 0.487 1
Pt2 Pt 0.500 0.500 0.802 1

=====

No. 10
# TlRePt2 (PBE, optimized geometry)
# VASP energy	-6.331	eV/atom
# energy above the most stable polymorph in this dataset	0.283	eV per atom
data_TlRePt2
_cell_length_a 2.9274
_cell_length_b 2.9274
_cell_length_c 27.8490
_cell_angle_alpha 90.00
_cell_angle_beta 90.00
_cell_angle_gamma 120.00
_symmetry_space_group_name_H-M 'R 3 m'
_symmetry_Int_Tables_number 160
_symmetry_space_group_name_Hall 'R 3 -2"'
loop_
_atom_site_label
_atom_site_type_symbol
_atom_site_fract_x
_atom_site_fract_y
_atom_site_fract_z
_atom_site_occupancy
Tl1 Tl 0.0000 0.0000 0.0000 1
Re1 Re 0.0000 0.0000 0.2440 1
Pt1 Pt 0.0000 0.0000 0.5034 1
Pt2 Pt 0.0000 0.0000 0.7541 1

=====

No. 11
# URePt (PBE, optimized geometry)
# VASP energy	-9.867	eV/atom
data_URePt
_cell_length_a 14.637
_cell_length_b 2.872
_cell_length_c 4.932
_cell_angle_alpha 90.00
_cell_angle_beta 90.00
_cell_angle_gamma 90.00
_symmetry_space_group_name_H-M 'A m m 2'
_symmetry_Int_Tables_number 38
_symmetry_space_group_name_Hall 'A 2 -2'
loop_
_atom_site_label
_atom_site_type_symbol
_atom_site_fract_x
_atom_site_fract_y
_atom_site_fract_z
_atom_site_occupancy
U1 U 0.171 0.000 0.000 1
Re1 Re 0.000 0.000 0.203 1
Re2 Re 0.500 0.000 0.031 1
Pt1 Pt 0.351 0.000 0.365 1

=====

No. 12
# VRePt2 (PBE, optimized geometry)
# VASP energy	-8.197	eV/atom
# energy above the most stable polymorph in this dataset	0.035	eV per atom
data_VRePt2
_cell_length_a 3.751
_cell_length_b 3.751
_cell_length_c 18.278
_cell_angle_alpha 90.00
_cell_angle_beta 90.00
_cell_angle_gamma 90.00
_symmetry_space_group_name_H-M 'I -4 2 d'
_symmetry_Int_Tables_number 122
_symmetry_space_group_name_Hall 'I -4 2bw'
loop_
_atom_site_label
_atom_site_type_symbol
_atom_site_fract_x
_atom_site_fract_y
_atom_site_fract_z
_atom_site_occupancy
V1 V 0.000 0.000 0.000 1
Re1 Re 0.000 0.000 0.500 1
Pt1 Pt 0.248 0.250 0.125 1

=====

No. 13
# VRePt3 (PBE, optimized geometry)
# VASP energy	-6.678	eV/atom
# energy above the most stable polymorph in this dataset	0.000	eV per atom
data_VRePt3
_cell_length_a 4.805
_cell_length_b 4.805
_cell_length_c 4.805
_cell_angle_alpha 90.00
_cell_angle_beta 90.00
_cell_angle_gamma 90.00
_symmetry_space_group_name_H-M 'P m -3 m'
_symmetry_Int_Tables_number 221
_symmetry_space_group_name_Hall '-P 4 2 3'
loop_
_atom_site_label
_atom_site_type_symbol
_atom_site_fract_x
_atom_site_fract_y
_atom_site_fract_z
_atom_site_occupancy
V1 V 0.000 0.000 0.000 1
Re1 Re 0.500 0.500 0.500 1
Pt1 Pt 0.000 0.500 0.500 1

=====

No. 14
# V2RePt8 (PBE, optimized geometry)
# VASP energy	-7.503	eV/atom
data_V2RePt8
_cell_length_a 14.137
_cell_length_b 3.924
_cell_length_c 6.256
_cell_angle_alpha 90.00
_cell_angle_beta 106.96
_cell_angle_gamma 90.00
_symmetry_space_group_name_H-M 'C 1 2/m 1'
_symmetry_Int_Tables_number 12
_symmetry_space_group_name_Hall '-C 2y'
loop_
_atom_site_label
_atom_site_type_symbol
_atom_site_fract_x
_atom_site_fract_y
_atom_site_fract_z
_atom_site_occupancy
V1 V 0.220 0.000 0.145 1
Re1 Re 0.000 0.500 0.500 1
Pt1 Pt 0.046 0.000 0.234 1
Pt2 Pt 0.100 0.500 0.948 1
Pt3 Pt 0.143 0.000 0.699 1
Pt4 Pt 0.181 0.500 0.411 1

=====

No. 15
# V3RePt (PBE, optimized geometry)
# VASP energy	-8.037	eV/atom
# energy above the most stable polymorph in this dataset	0.000	eV per atom
data_V3RePt
_cell_length_a 4.516
_cell_length_b 4.516
_cell_length_c 4.516
_cell_angle_alpha 90.00
_cell_angle_beta 90.00
_cell_angle_gamma 90.00
_symmetry_space_group_name_H-M 'P m -3 m'
_symmetry_Int_Tables_number 221
_symmetry_space_group_name_Hall '-P 4 2 3'
loop_
_atom_site_label
_atom_site_type_symbol
_atom_site_fract_x
_atom_site_fract_y
_atom_site_fract_z
_atom_site_occupancy
V1 V 0.000 0.000 0.500 1
Re1 Re 0.000 0.000 0.000 1
Pt1 Pt 0.500 0.500 0.500 1

=====

Calculated magnetization (μB/cell), listed in the same order as above: 0.00, 0.00, 0.00, 8.43, 5.81, 8.01, 0.00, 0.00, 0.00, 0.00, 1.77, 0.03, 2.93, 0.11, 0.00